{
  "formula": "PmNi2Ge3",
  "functional": "PBE",
  "state": "optimized geometry",
  "energy_ev_per_atom": -5.4564,
  "delta_e_f_ev_per_fu": -2.57,
  "relative_energy_mev_per_atom": 150,
  "space_group": "No. 63",
  "lattice": [[-5.296, -2.545, 0.267], [1.439, -2.424, 5.448], [-2.473, 5.331, 1.758]],
  "species": ["Pm", "Pm", "Ni", "Ni", "Ni", "Ni", "Ge", "Ge", "Ge", "Ge", "Ge", "Ge"],
  "frac_coords": [[0.750, 0.302, 0.698], [0.250, 0.698, 0.302], [0.000, 0.835, 0.835], [0.500, 0.835, 0.835], [0.000, 0.165, 0.165], [0.500, 0.165, 0.165], [0.250, 0.139, 0.861], [0.250, 0.544, 0.774], [0.750, 0.774, 0.544], [0.250, 0.226, 0.456], [0.750, 0.456, 0.226], [0.750, 0.861, 0.139]]
}